The following is a GGA-PBE calculation of crystalline NdSm2HoTe6 at its relaxed geometry, from Alexandria.

Computed properties:
E_form (uncorrected): -1.371 eV/atom
symmetry: R3, No. 146

Structure (POSCAR):
```
NdSm2HoTe6
1.0
-5.3643 -5.7143 0.0459
1.8017 -7.0899 -2.8141
1.0081 -6.2763 5.5446
Te Sm Ho Nd
6 2 1 1
direct
0.5972 0.2276 0.2499 Te
0.4127 0.7223 0.7548 Te
0.1102 0.4127 0.7547 Te
0.7223 0.1102 0.7548 Te
0.2276 0.9252 0.2499 Te
0.9252 0.5973 0.2499 Te
0.5121 0.5120 0.4639 Sm
0.0100 0.0100 0.9700 Sm
0.3234 0.3233 0.0299 Ho
0.8209 0.8209 0.5373 Nd
```

=====

The following is a GGA-PBE calculation of crystalline CaCd2H2 at its relaxed geometry, from Alexandria.

Computed properties:
density of states at the Fermi level: 0.46 states/eV/atom
symmetry: I4/mmm, No. 139

Structure (POSCAR):
```
CaCd2H2
1.0
4.1935 0.0000 0.0000
0.0000 4.1935 0.0000
2.0968 2.0968 5.6171
Cd H Ca
2 2 1
direct
0.7500 0.2500 0.5000 Cd
0.2500 0.7500 0.5000 Cd
0.4649 0.4649 0.0703 H
0.5351 0.5351 0.9297 H
0.0000 0.0000 0.0000 Ca
```

=====

The following is a GGA-PBE calculation of crystalline Li2LaZr at its relaxed geometry, from Alexandria.

Computed properties:
density of states at the Fermi level: 1.28 states/eV/atom
E_form: 435 meV/atom
symmetry: F-43m, No. 216

Structure (POSCAR):
```
Li2LaZr
1.0
-0.8742 -0.5387 5.0070
-1.6863 -4.4628 1.8342
3.0860 -2.9289 2.8325
Li La Zr
2 1 1
direct
0.2500 0.2500 0.2500 Li
0.0000 0.0000 0.0000 Li
0.5000 0.5000 0.5000 La
0.7500 0.7500 0.7500 Zr
```

=====

| no. | electronic total energy (eV for the cell shown) |
| --- | --- |
| 1 | -51.342 |
| 2 | -10.490 |
| 3 | -15.561 |